Material: MgMn2Be
Method: DFT, GGA-PBE
State: optimized geometry

Calculated values
The calculation puts the density of states at the Fermi level at 0.580 states/eV/atom. The energy relative to the elements comes out at 0.31 eV/atom. The value obtained for the total DFT energy (no corrections) is -5.6048 eV per atom. For the density, the calculation gives 4.64 g cm⁻³. The total moment is 1.1239 μB/atom.

a b c (Å): 4.0505 2.6152 4.9593
angles (deg): 77.38 90.00 90.00
Fractional positions:
1 Mg 0.5000 0.7500 0.7500
2 Mn 0.0000 0.0690 0.0376
3 Mn 0.0000 0.4310 0.4624
4 Be 0.5000 0.2500 0.2500